A plane-wave DFT calculation with PBE-GGA was carried out for an optimized crystal structure of Ba2La4N.

Calculated values
raw total energy: -0.3528 Ry/atom
E_form (uncorrected): -246 meV/atom

a = 10.4722 Å, b = 10.4722 Å, c = 10.4722 Å
α = 150.33°, β = 150.33°, γ = 42.46°
Fractional positions:
Ba1 0.1699 0.1699 0.0000
Ba2 0.8301 0.8301 0.0000
La1 0.0000 0.5000 0.5000
La2 0.3819 0.3819 0.0000
La3 0.5000 0.0000 0.5000
La4 0.6181 0.6181 0.0000
N1 0.5000 0.5000 0.0000